No. 1
Material: Hg7Br2O2
Method: DFT, GGA-PBE
State: optimized geometry

calculated volume = 307.30 Å³/cell
formation energy without anion corrections = -0.128 eV/atom
magnetic moment = 0.00 μB/cell

Unit cell a=6.022 b=6.022 c=8.559 alpha=94.59 beta=94.59 gamma=94.35
Positions (direct):
Hg 0.484 0.045 0.758
Hg 0.955 0.516 0.242
Hg 0.045 0.484 0.758
Hg 0.659 0.659 0.868
Hg 0.341 0.341 0.132
Hg 0.000 0.000 0.000
Hg 0.516 0.955 0.242
Br 0.243 0.757 0.500
Br 0.757 0.243 0.500
O 0.618 0.618 0.155
O 0.382 0.382 0.845

=====

No. 2
Material: TeOsPb2
Method: DFT, GGA-PBE
State: optimized geometry

calculated volume = 105.85 Å³/cell
formation energy without anion corrections = 0.509 eV/atom
magnetic moment = 0.00 μB/cell

Unit cell a=3.338 b=3.241 c=9.784 alpha=89.64 beta=90.00 gamma=90.00
Positions (direct):
Te 0.500 0.250 0.250
Os 0.500 0.750 0.750
Pb 0.000 0.247 0.931
Pb 0.000 0.253 0.569

=====

No. 3
Material: CoTeOs2
Method: DFT, GGA-PBE
State: optimized geometry

calculated volume = 62.98 Å³/cell
formation energy without anion corrections = 0.882 eV/atom
magnetic moment = 2.40 μB/cell

Unit cell a=8.511 b=8.511 c=8.511 alpha=19.98 beta=19.98 gamma=19.98
Site moments in Bohr magnetons follow the coordinates.
Positions (direct):
Co 0.750 0.750 0.750  1.73
Os 0.494 0.494 0.494  0.32
Os 0.006 0.006 0.006  0.32
Te 0.250 0.250 0.250  0.01

=====

no.,E (eV/atom)
1,-1.5254
2,-4.9380
3,-7.2950